# Ca3TbU2N6, optimized geometry, DFT GGA-PBE
# Raw formation energy ... -1.3608 eV/atom
# Energy ... -8.29 eV/atom
data_Ca3TbU2N6
_chemical_formula_sum 'Ca6 Tb2 U4 N12'
_space_group_name_H-M_alt 'C 1 2/m 1'
_space_group_IT_number 12
_space_group_name_Hall '-C 2y'
_cell_length_a 15.151
_cell_length_b 3.513
_cell_length_c 7.014
_cell_angle_alpha 90.00
_cell_angle_beta 103.39
_cell_angle_gamma 90.00
loop_
_atom_site_label
_atom_site_type_symbol
_atom_site_fract_x
_atom_site_fract_y
_atom_site_fract_z
_atom_site_occupancy
Ca1 Ca 0.000 0.000 0.000 1
Ca2 Ca 0.166 0.500 0.334 1
Tb1 Tb 0.000 0.000 0.500 1
U1 U 0.165 0.500 0.829 1
N1 N 0.015 0.500 0.750 1
N2 N 0.164 0.000 0.610 1
N3 N 0.177 0.000 0.063 1


# BeCoS2N, optimized geometry, DFT GGA-PBE
# Offset from the most stable computed form ... 93 meV/atom
# Raw formation energy ... 0.7621 eV/atom
# Energy ... -4.72 eV/atom
data_BeCoS2N
_chemical_formula_sum 'Be1 Co1 S2 N1'
_space_group_name_H-M_alt 'P 4/m m m'
_space_group_IT_number 123
_space_group_name_Hall '-P 4 2'
_cell_length_a 4.586
_cell_length_b 4.586
_cell_length_c 3.048
_cell_angle_alpha 90.00
_cell_angle_beta 90.00
_cell_angle_gamma 90.00
loop_
_atom_site_label
_atom_site_type_symbol
_atom_site_fract_x
_atom_site_fract_y
_atom_site_fract_z
_atom_site_occupancy
Be1 Be 0.000 0.000 0.000 1
Co1 Co 0.500 0.500 0.500 1
S1 S 0.000 0.500 0.000 1
N1 N 0.000 0.000 0.500 1


# LiZrAg2, optimized geometry, DFT GGA-PBE
# E_form ... 0.06 eV per atom
# Energy ... -3.98 eV/atom
data_LiZrAg2
_chemical_formula_sum 'Li2 Zr2 Ag4'
_space_group_name_H-M_alt 'I -4 m 2'
_space_group_IT_number 119
_space_group_name_Hall 'I -4 -2'
_cell_length_a 4.337
_cell_length_b 4.337
_cell_length_c 7.661
_cell_angle_alpha 90.00
_cell_angle_beta 90.00
_cell_angle_gamma 90.00
loop_
_atom_site_label
_atom_site_type_symbol
_atom_site_fract_x
_atom_site_fract_y
_atom_site_fract_z
_atom_site_occupancy
Li1 Li 0.000 0.000 0.000 1
Zr1 Zr 0.000 0.500 0.750 1
Ag1 Ag 0.000 0.000 0.500 1
Ag2 Ag 0.000 0.500 0.250 1


# Ti2TcNi9, optimized geometry, DFT GGA-PBE
# E_form ... -0.25 eV per atom
# Energy ... -6.76 eV/atom
data_Ti2TcNi9
_chemical_formula_sum 'Ti2 Tc1 Ni9'
_space_group_name_H-M_alt 'P 4/m m m'
_space_group_IT_number 123
_space_group_name_Hall '-P 4 2'
_cell_length_a 3.621
_cell_length_b 3.621
_cell_length_c 10.836
_cell_angle_alpha 90.00
_cell_angle_beta 90.00
_cell_angle_gamma 90.00
loop_
_atom_site_label
_atom_site_type_symbol
_atom_site_fract_x
_atom_site_fract_y
_atom_site_fract_z
_atom_site_occupancy
Ti1 Ti 0.000 0.000 0.167 1
Tc1 Tc 0.000 0.000 0.500 1
Ni1 Ni 0.000 0.500 0.000 1
Ni2 Ni 0.000 0.500 0.331 1
Ni3 Ni 0.500 0.500 0.166 1
Ni4 Ni 0.500 0.500 0.500 1


# TaTeRu, optimized geometry, DFT GGA-PBE
# Offset from the most stable computed form ... 575 meV/atom
# Raw formation energy ... 0.3391 eV/atom
# Energy ... -7.75 eV/atom
data_TaTeRu
_chemical_formula_sum 'Ta4 Te4 Ru4'
_space_group_name_H-M_alt 'F -4 3 m'
_space_group_IT_number 216
_space_group_name_Hall 'F -4 2 3'
_cell_length_a 6.323
_cell_length_b 6.323
_cell_length_c 6.323
_cell_angle_alpha 90.00
_cell_angle_beta 90.00
_cell_angle_gamma 90.00
loop_
_atom_site_label
_atom_site_type_symbol
_atom_site_fract_x
_atom_site_fract_y
_atom_site_fract_z
_atom_site_occupancy
Ta1 Ta 0.000 0.000 0.000 1
Te1 Te 0.250 0.250 0.250 1
Ru1 Ru 0.250 0.250 0.750 1


# Y4HoAg, optimized geometry, DFT GGA-PBE
# Offset from the most stable computed form ... 0 meV/atom
# E_form ... -0.08 eV per atom
# Energy ... -5.63 eV/atom
data_Y4HoAg
_chemical_formula_sum 'Y4 Ho1 Ag1'
_space_group_name_H-M_alt 'P 4/m m m'
_space_group_IT_number 123
_space_group_name_Hall '-P 4 2'
_cell_length_a 3.562
_cell_length_b 3.562
_cell_length_c 13.994
_cell_angle_alpha 90.00
_cell_angle_beta 90.00
_cell_angle_gamma 90.00
loop_
_atom_site_label
_atom_site_type_symbol
_atom_site_fract_x
_atom_site_fract_y
_atom_site_fract_z
_atom_site_occupancy
Y1 Y 0.000 0.000 0.137 1
Y2 Y 0.500 0.500 0.322 1
Ho1 Ho 0.000 0.000 0.500 1
Ag1 Ag 0.500 0.500 0.000 1